The following is a meta-GGA SCAN calculation of SrFeH2 at its PBEsol-relaxed geometry, from the Alexandria database.

Structure (CIF):
```
data_SrFeH2
_chemical_formula_sum 'Sr1 Fe1 H2'
_cell_length_a 4.234
_cell_length_b 4.234
_cell_length_c 4.234
_cell_angle_alpha 60.00
_cell_angle_beta 60.00
_cell_angle_gamma 60.00
_symmetry_space_group_name_H-M 'P 1'
_symmetry_Int_Tables_number 1
_symmetry_space_group_name_Hall 'P 1'
loop_
_atom_site_label
_atom_site_fract_x
_atom_site_fract_y
_atom_site_fract_z
Fe1 0.000 0.000 0.000
Sr1 0.500 0.500 0.500
H1 0.750 0.750 0.750
H2 0.250 0.250 0.250
```

V = 54 Å³/cell
raw total energy = -11.491 eV per atom

The following is a meta-GGA SCAN calculation of SrFe2H at its PBEsol-relaxed geometry, from the Alexandria database.

Structure (CIF):
```
data_SrFe2H
_chemical_formula_sum 'Sr1 Fe2 H1'
_cell_length_a 4.368
_cell_length_b 4.368
_cell_length_c 4.368
_cell_angle_alpha 60.00
_cell_angle_beta 60.00
_cell_angle_gamma 60.00
_symmetry_space_group_name_H-M 'P 1'
_symmetry_Int_Tables_number 1
_symmetry_space_group_name_Hall 'P 1'
loop_
_atom_site_label
_atom_site_fract_x
_atom_site_fract_y
_atom_site_fract_z
Sr1 0.500 0.500 0.500
Fe1 0.250 0.250 0.250
Fe2 0.750 0.750 0.750
H1 0.000 0.000 0.000
```

V = 59 Å³/cell
raw total energy = -13.839 eV per atom

The following is a meta-GGA SCAN calculation of Ta2FeH2 at its PBEsol-relaxed geometry, from the Alexandria database.

Structure (CIF):
```
data_Ta2FeH2
_chemical_formula_sum 'Ta2 Fe1 H2'
_cell_length_a 2.961
_cell_length_b 2.961
_cell_length_c 6.145
_cell_angle_alpha 103.94
_cell_angle_beta 103.94
_cell_angle_gamma 90.00
_symmetry_space_group_name_H-M 'P 1'
_symmetry_Int_Tables_number 1
_symmetry_space_group_name_Hall 'P 1'
loop_
_atom_site_label
_atom_site_fract_x
_atom_site_fract_y
_atom_site_fract_z
H1 0.750 0.250 0.500
H2 0.250 0.750 0.500
Fe1 0.000 0.000 0.000
Ta1 0.365 0.365 0.731
Ta2 0.635 0.635 0.269
```

V = 51 Å³/cell
raw total energy = -31.790 eV per atom

Which of these has the lowest V? Ta2FeH2